# 1
Here is a relaxed structure of Rb3Ce3RuS8 from Alexandria via LeMat-Bulk. Energies are from PBE.

## Properties
SG: R-3m (166)
E_form (uncorrected), eV per atom: -1.4432
V, Å³/atom: 28.84
M_tot, μB/f.u.: 1.0

a = 9.121 Å, b = 9.121 Å, c = 9.121 Å
α = 51.76°, β = 51.76°, γ = 51.76°
Positions (direct):
Rb 0.000 0.500 0.500
Rb 0.500 0.000 0.500
Rb 0.500 0.500 0.000
Ce 0.000 0.000 0.500
Ce 0.000 0.500 0.000
Ce 0.500 0.000 0.000
Ru 0.500 0.500 0.500
S 0.233 0.233 0.233
S 0.255 0.711 0.711
S 0.289 0.289 0.745
S 0.289 0.745 0.289
S 0.711 0.255 0.711
S 0.711 0.711 0.255
S 0.745 0.289 0.289
S 0.767 0.767 0.767

***

# 2
Here is a relaxed structure of Rb2CeS3 from Alexandria via LeMat-Bulk. Energies are from PBE.

## Properties
SG: C2/m (12)
E_form (uncorrected), eV per atom: -1.5619
V, Å³/atom: 31.12
M_tot, μB/f.u.: 0.0

a = 7.495 Å, b = 7.495 Å, c = 8.086 Å
α = 99.14°, β = 99.14°, γ = 119.92°
Positions (direct):
Rb 0.000 0.000 0.000
Rb 0.154 0.846 0.500
Rb 0.500 0.500 0.500
Rb 0.846 0.154 0.500
Ce 0.333 0.667 0.000
Ce 0.667 0.333 0.000
S 0.068 0.454 0.198
S 0.317 0.317 0.805
S 0.454 0.068 0.198
S 0.546 0.932 0.802
S 0.683 0.683 0.195
S 0.932 0.546 0.802

***

# 3
Here is a relaxed structure of Rb2CeS3 from Alexandria via LeMat-Bulk. Energies are from PBE.

## Properties
SG: Cmmm (65)
E_form (uncorrected), eV per atom: -1.4410
V, Å³/atom: 32.66
M_tot, μB/f.u.: 0.0

a = 8.326 Å, b = 8.326 Å, c = 4.225 Å
α = 90.00°, β = 90.00°, γ = 138.01°
Positions (direct):
Rb 0.163 0.837 0.000
Rb 0.837 0.163 0.000
Ce 0.500 0.500 0.500
S 0.000 0.000 0.500
S 0.388 0.612 0.000
S 0.612 0.388 0.000

***

# 4
Here is a relaxed structure of RbCeS2 from Alexandria via LeMat-Bulk. Energies are from PBE.

## Properties
SG: R3m (160)
E_form (uncorrected), eV per atom: -1.7376
V, Å³/atom: 30.15
M_tot, μB/f.u.: 1.0

a = 8.189 Å, b = 8.189 Å, c = 8.189 Å
α = 29.87°, β = 29.87°, γ = 29.87°
Positions (direct):
Rb 0.000 0.000 0.000
Ce 0.170 0.170 0.170
S 0.568 0.568 0.568
S 0.771 0.771 0.771

***

# 5
Here is a relaxed structure of Rb2Ce2S5 from Alexandria via LeMat-Bulk. Energies are from PBE.

## Properties
SG: Cmce (64)
E_form (uncorrected), eV per atom: -1.6262
V, Å³/atom: 27.07
M_tot, μB/f.u.: 0.0

a = 8.950 Å, b = 8.950 Å, c = 7.778 Å
α = 90.00°, β = 90.00°, γ = 51.46°
Positions (direct):
Rb 0.206 0.206 0.000
Rb 0.294 0.294 0.500
Rb 0.706 0.706 0.500
Rb 0.794 0.794 0.000
Ce 0.166 0.834 0.666
Ce 0.334 0.666 0.166
Ce 0.666 0.334 0.834
Ce 0.834 0.166 0.334
S 0.000 0.000 0.000
S 0.036 0.750 0.357
S 0.250 0.536 0.857
S 0.250 0.964 0.357
S 0.464 0.750 0.857
S 0.500 0.500 0.500
S 0.536 0.250 0.143
S 0.750 0.036 0.643
S 0.750 0.464 0.143
S 0.964 0.250 0.643

***

# 6
Here is a relaxed structure of RbCe2S4 from Alexandria via LeMat-Bulk. Energies are from PBE.

## Properties
SG: Cmcm (63)
E_form (uncorrected), eV per atom: -1.7692
V, Å³/atom: 28.56
M_tot, μB/f.u.: 1.0

a = 7.159 Å, b = 7.159 Å, c = 14.031 Å
α = 90.00°, β = 90.00°, γ = 146.22°
Positions (direct):
Rb 0.110 0.890 0.750
Rb 0.890 0.110 0.250
Ce 0.366 0.634 0.568
Ce 0.366 0.634 0.932
Ce 0.634 0.366 0.068
Ce 0.634 0.366 0.432
S 0.000 0.000 0.000
S 0.000 0.000 0.500
S 0.261 0.739 0.103
S 0.261 0.739 0.397
S 0.423 0.577 0.750
S 0.577 0.423 0.250
S 0.739 0.261 0.603
S 0.739 0.261 0.897

***

We obtain calculated density values of 4.0 3.6 3.5 4.0 4.2 4.1 g/cm3 for the records listed above, in that order.